# 1
A relaxed LuPaMoOs crystal, computed with GGA-PBE.

Summary:
- final energy (eV/cell) = -36.54
- formation energy (meV/atom) = -115

Unit cell a=4.8267 b=4.8267 c=4.8267 alpha=60.00 beta=60.00 gamma=60.00
Closest atoms and distances in Å follow each position.
Fractional coordinates of all 4 atoms:
Mo (0.5000, 0.5000, 0.5000)  4 Pa 2.96, 4 Lu 2.96
Pa (0.2500, 0.2500, 0.2500)  4 Mo 2.96, 4 Os 2.96
Os (0.0000, 0.0000, 0.0000)  4 Pa 2.96, 4 Lu 2.96
Lu (0.7500, 0.7500, 0.7500)  4 Os 2.96, 4 Mo 2.96

---

# 2
A relaxed LuPuMoOs crystal, computed with GGA-PBE.

Summary:
- final energy (eV/cell) = -40.66
- formation energy (meV/atom) = 64

Unit cell a=4.7688 b=4.7688 c=4.7688 alpha=60.00 beta=60.00 gamma=60.00
Closest atoms and distances in Å follow each position.
Fractional coordinates of all 4 atoms:
Mo (0.0000, 0.0000, 0.0000)  4 Lu 2.92, 4 Pu 2.92
Lu (0.2500, 0.2500, 0.2500)  4 Mo 2.92, 4 Os 2.92
Os (0.5000, 0.5000, 0.5000)  4 Pu 2.92, 4 Lu 2.92
Pu (0.7500, 0.7500, 0.7500)  4 Os 2.92, 4 Mo 2.92

---

# 3
A relaxed LuMoOsW crystal, computed with GGA-PBE.

Summary:
- final energy (eV/cell) = -39.46
- formation energy (meV/atom) = 19

Unit cell a=4.5714 b=4.5714 c=4.5714 alpha=60.00 beta=60.00 gamma=60.00
Closest atoms and distances in Å follow each position.
Fractional coordinates of all 4 atoms:
Mo (0.5000, 0.5000, 0.5000)  4 Lu 2.80, 4 W 2.80
Lu (0.7500, 0.7500, 0.7500)  4 Mo 2.80, 4 Os 2.80
Os (0.0000, 0.0000, 0.0000)  4 W 2.80, 4 Lu 2.80
W (0.2500, 0.2500, 0.2500)  4 Mo 2.80, 4 Os 2.80

---

# 4
A relaxed LuPaMo4 crystal, computed with GGA-PBE.

Summary:
- final energy (eV/cell) = -56.93
- formation energy (meV/atom) = 69

Unit cell a=5.4869 b=5.4869 c=5.4869 alpha=60.00 beta=60.00 gamma=60.00
Closest atoms and distances in Å follow each position.
Fractional coordinates of all 6 atoms:
Mo (0.6248, 0.6248, 0.1257)  6 Mo 2.74-2.75
Mo (0.6248, 0.1257, 0.6248)  6 Mo 2.74-2.75
Mo (0.6248, 0.6248, 0.6248)  6 Mo 2.74-2.75
Mo (0.1257, 0.6248, 0.6248)  6 Mo 2.74-2.75
Pa (0.2500, 0.2500, 0.2500)  12 Mo 3.22, 4 Lu 3.36
Lu (0.0000, 0.0000, 0.0000)  12 Mo 3.22, 4 Pa 3.36

---

# 5
A relaxed LuPa2Mo crystal, computed with GGA-PBE.

Summary:
- final energy (eV/cell) = -32.63
- formation energy (meV/atom) = 429
- polymorph energy (0 for the lowest one) (eV/f.u.) = 0.94

Unit cell a=3.6775 b=3.6775 c=9.0925 alpha=78.33 beta=78.33 gamma=60.00
Closest atoms and distances in Å follow each position.
Fractional coordinates of all 4 atoms:
Mo (0.0000, 0.0000, 0.0000)  6 Pa 2.75
Pa (0.2676, 0.2676, 0.1973)  3 Mo 2.75
Pa (0.7324, 0.7324, 0.8027)  3 Mo 2.75
Lu (0.5000, 0.5000, 0.5000)  6 Pa 3.42, 6 Lu 3.68

---

# 6
A relaxed LuPaMo2 crystal, computed with GGA-PBE.

Summary:
- final energy (eV/cell) = -35.09
- formation energy (meV/atom) = 147

Unit cell a=4.8445 b=4.8445 c=4.8445 alpha=60.00 beta=60.00 gamma=60.00
Closest atoms and distances in Å follow each position.
Fractional coordinates of all 4 atoms:
Mo (0.2500, 0.2500, 0.2500)  4 Pa 2.97, 4 Lu 2.97
Mo (0.7500, 0.7500, 0.7500)  4 Pa 2.97, 4 Lu 2.97
Pa (0.0000, 0.0000, 0.0000)  8 Mo 2.97
Lu (0.5000, 0.5000, 0.5000)  8 Mo 2.97

---

# 7
A relaxed LuPaMo crystal, computed with GGA-PBE.

Summary:
- final energy (eV/cell) = -24.61
- formation energy (meV/atom) = 78

Unit cell a=3.4655 b=3.4655 c=6.1157 alpha=106.46 beta=106.46 gamma=90.00
Closest atoms and distances in Å follow each position.
Fractional coordinates of all 3 atoms:
Mo (0.6849, 0.6849, 0.3698)  4 Pa 2.81
Pa (0.3076, 0.3076, 0.6152)  4 Mo 2.81
Lu (0.0075, 0.0075, 0.0150)  4 Mo 3.16, 5 Pa 3.32-3.36, 4 Lu 3.47

---

# 8
A relaxed LuPa2Mo crystal, computed with GGA-PBE.

Summary:
- final energy (eV/cell) = -33.57
- formation energy (meV/atom) = 194
- polymorph energy (0 for the lowest one) (eV/f.u.) = 0.00

Unit cell a=3.3833 b=3.3833 c=8.4386 alpha=90.00 beta=90.00 gamma=90.00
Closest atoms and distances in Å follow each position.
Fractional coordinates of all 4 atoms:
Mo (0.5000, 0.5000, 0.0000)  8 Pa 2.97
Pa (0.0000, 0.0000, 0.7907)  4 Mo 2.97
Pa (0.0000, 0.0000, 0.2093)  4 Mo 2.97
Lu (0.5000, 0.5000, 0.5000)  4 Lu 3.38, 8 Pa 3.43